No. 1
Density functional theory data (GGA-PBE) for SrTaSi2Sn after structural relaxation.

Volume   146 Å³/f.u.
Spin magnetization   0.39 μB per atom
Raw total energy   -22.670 eV for the cell shown

Structure (CIF):
```
data_SrTaSi2Sn
_chemical_formula_sum 'Sr1 Ta1 Si2 Sn1'
_cell_length_a 5.245
_cell_length_b 5.245
_cell_length_c 5.315
_cell_angle_alpha 90.00
_cell_angle_beta 90.00
_cell_angle_gamma 90.00
_space_group_name_H-M_alt 'P 4/m m m'
_space_group_IT_number 123
_space_group_name_Hall '-P 4 2'
loop_
_atom_site_label
_atom_site_type_symbol
_atom_site_fract_x
_atom_site_fract_y
_atom_site_fract_z
Sr1 Sr 0.000 0.000 0.000
Ta1 Ta 0.500 0.500 0.000
Si1 Si 0.000 0.500 0.500
Sn1 Sn 0.500 0.500 0.500
```

=====

No. 2
Density functional theory data (GGA-PBE) for BiSN2O after structural relaxation.

Volume   64 Å³/f.u.
Spin magnetization   0.00 μB per atom
Raw total energy   -21.109 eV for the cell shown

Structure (CIF):
```
data_BiSN2O
_chemical_formula_sum 'Bi1 S1 N2 O1'
_cell_length_a 4.087
_cell_length_b 4.087
_cell_length_c 3.806
_cell_angle_alpha 90.00
_cell_angle_beta 90.00
_cell_angle_gamma 90.00
_space_group_name_H-M_alt 'P 4/m m m'
_space_group_IT_number 123
_space_group_name_Hall '-P 4 2'
loop_
_atom_site_label
_atom_site_type_symbol
_atom_site_fract_x
_atom_site_fract_y
_atom_site_fract_z
Bi1 Bi 0.000 0.000 0.000
S1 S 0.500 0.500 0.000
N1 N 0.000 0.500 0.500
O1 O 0.500 0.500 0.500
```

=====

No. 3
Density functional theory data (GGA-PBE) for LaCu5Hg after structural relaxation.

Volume   116 Å³/f.u.
Spin magnetization   0.00 μB per atom
Raw total energy   -107.873 eV for the cell shown

Structure (CIF):
```
data_LaCu5Hg
_chemical_formula_sum 'La4 Cu20 Hg4'
_cell_length_a 8.464
_cell_length_b 5.163
_cell_length_c 10.601
_cell_angle_alpha 90.00
_cell_angle_beta 90.00
_cell_angle_gamma 90.00
_space_group_name_H-M_alt 'P n m a'
_space_group_IT_number 62
loop_
_space_group_symop_operation_xyz
'x,y,z'
'-x,-y,-z'
'-x+1/2,-y,z+1/2'
'x+1/2,y,-z+1/2'
'x+1/2,-y+1/2,-z+1/2'
'-x+1/2,y+1/2,z+1/2'
'-x,y+1/2,-z'
'x,-y+1/2,z'
loop_
_atom_site_label
_atom_site_type_symbol
_atom_site_fract_x
_atom_site_fract_y
_atom_site_fract_z
La1 La 0.242 0.250 0.063
Cu1 Cu 0.056 0.750 0.113
Cu2 Cu 0.067 0.501 0.314
Cu3 Cu 0.081 0.250 0.516
Cu4 Cu 0.184 0.250 0.742
Hg1 Hg 0.138 0.750 0.865
```

=====

No. 4
Density functional theory data (GGA-PBE) for Ho3ZnPd after structural relaxation.

Volume   133 Å³/f.u.
Spin magnetization   0.00 μB per atom
Raw total energy   -86.902 eV for the cell shown

Structure (CIF):
```
data_Ho3ZnPd
_chemical_formula_sum 'Ho12 Zn4 Pd4'
_cell_length_a 3.732
_cell_length_b 14.896
_cell_length_c 9.599
_cell_angle_alpha 90.00
_cell_angle_beta 90.00
_cell_angle_gamma 90.00
_space_group_name_H-M_alt 'A m m 2'
_space_group_IT_number 38
loop_
_space_group_symop_operation_xyz
'x,y,z'
'-x,-y,z'
'-x,y,z'
'x,-y,z'
'x,y+1/2,z+1/2'
'-x,-y+1/2,z+1/2'
'-x,y+1/2,z+1/2'
'x,-y+1/2,z+1/2'
loop_
_atom_site_label
_atom_site_type_symbol
_atom_site_fract_x
_atom_site_fract_y
_atom_site_fract_z
Ho1 Ho 0.000 0.113 0.000
Ho2 Ho 0.000 0.113 0.381
Ho3 Ho 0.500 0.159 0.690
Zn1 Zn 0.000 0.000 0.690
Zn2 Zn 0.500 0.000 0.190
Pd1 Pd 0.500 0.250 0.441
```